Here is a crystal of Re2NiRh relaxed with PBEsol from the Alexandria database. Energies are from meta-GGA SCAN.

Unit cell a=2.6592 b=4.2588 c=4.6782 alpha=90.00 beta=90.00 gamma=90.00
Space group Pmm2 (No. 25)
Inequivalent atoms, fractional coordinates:
Re: 0.0000 0.0000 0.0000
Re: 0.0000 0.5000 0.3282
Ni: 0.5000 0.0000 0.4968
Rh: 0.5000 0.5000 0.8125

## Properties
Distance to the lowest polymorph of the same formula: 0 meV per atom
Theoretical density: 16.74 Mg/m³